[1]
Here is an optimized crystal structure of RuPb3Cl from the Alexandria database. Energies are from PBE-GGA.

Values from the calculation:
- DFT total energy (eV/atom) = -3.45
- energy relative to the elements, uncorrected (kJ/mol of formula units) = 480
- magnetization (μB/cell) = 2.6
- E above lowest polymorph (eV per atom) = 1.063

Unit cell a=5.429 b=5.429 c=5.429 alpha=90.00 beta=90.00 gamma=90.00
Space group Pm-3m (No. 221)
Unique sites:
Ru1 0.000 0.000 0.000 x1
Pb1 0.000 0.500 0.500 x3
Cl1 0.500 0.500 0.500 x1

[2]
Here is an optimized crystal structure of RuPbCl from the Alexandria database. Energies are from PBE-GGA.

Values from the calculation:
- DFT total energy (eV/atom) = -4.56
- energy relative to the elements, uncorrected (kJ/mol of formula units) = 110
- magnetization (μB/cell) = 0.0
- E above lowest polymorph (eV per atom) = 0.096

Unit cell a=3.111 b=5.731 c=15.528 alpha=90.00 beta=90.00 gamma=90.00
Space group Fmm2 (No. 42)
Unique sites:
Ru1 0.000 0.000 0.000 x4
Pb1 0.000 0.000 0.343 x4
Cl1 0.000 0.000 0.613 x4

[3]
Here is an optimized crystal structure of RuPb4Cl from the Alexandria database. Energies are from PBE-GGA.

Values from the calculation:
- DFT total energy (eV/atom) = -3.65
- energy relative to the elements, uncorrected (kJ/mol of formula units) = 392
- magnetization (μB/cell) = 10.0

Unit cell a=8.948 b=8.948 c=8.948 alpha=90.00 beta=90.00 gamma=90.00
Space group F-43m (No. 216)
Unique sites:
Ru1 0.000 0.000 0.000 x4
Pb1 0.126 0.126 0.374 x16
Cl1 0.250 0.250 0.750 x4

[4]
Here is an optimized crystal structure of Ru3PbCl from the Alexandria database. Energies are from PBE-GGA.

Values from the calculation:
- DFT total energy (eV/atom) = -5.58
- energy relative to the elements, uncorrected (kJ/mol of formula units) = 527
- magnetization (μB/cell) = 0.0
- E above lowest polymorph (eV per atom) = 0.000

Unit cell a=4.460 b=4.460 c=4.460 alpha=90.00 beta=90.00 gamma=90.00
Space group Pm-3m (No. 221)
Unique sites:
Ru1 0.000 0.000 0.500 x3
Pb1 0.500 0.500 0.500 x1
Cl1 0.000 0.000 0.000 x1

[5]
Here is an optimized crystal structure of RuPbCl from the Alexandria database. Energies are from PBE-GGA.

Values from the calculation:
- DFT total energy (eV/atom) = -4.57
- energy relative to the elements, uncorrected (kJ/mol of formula units) = 109
- magnetization (μB/cell) = 0.0
- E above lowest polymorph (eV per atom) = 0.092

Unit cell a=4.4649 b=4.4649 c=3.3916 alpha=90.00 beta=90.00 gamma=120.00
Space group P-6m2 (No. 187)
Unique sites:
Ru1 0.0000 0.0000 0.0000 x1
Pb1 0.6667 0.3333 0.5000 x1
Cl1 0.3333 0.6667 0.0000 x1

[6]
Here is an optimized crystal structure of RuPb3Cl from the Alexandria database. Energies are from PBE-GGA.

Values from the calculation:
- DFT total energy (eV/atom) = -4.52
- energy relative to the elements, uncorrected (kJ/mol of formula units) = -33
- magnetization (μB/cell) = 0.0
- E above lowest polymorph (eV per atom) = 0.000

Unit cell a=5.313 b=5.313 c=5.313 alpha=90.00 beta=90.00 gamma=90.00
Space group Pm-3m (No. 221)
Unique sites:
Ru1 0.000 0.000 0.000 x1
Pb1 0.000 0.000 0.500 x3
Cl1 0.500 0.500 0.500 x1

[7]
Here is an optimized crystal structure of Ru3PbCl from the Alexandria database. Energies are from PBE-GGA.

Values from the calculation:
- DFT total energy (eV/atom) = -4.53
- energy relative to the elements, uncorrected (kJ/mol of formula units) = 1037
- magnetization (μB/cell) = 6.2
- E above lowest polymorph (eV per atom) = 1.057

Unit cell a=5.117 b=5.117 c=5.117 alpha=90.00 beta=90.00 gamma=90.00
Space group Pm-3m (No. 221)
Unique sites:
Ru1 0.000 0.000 0.500 x3
Pb1 0.000 0.000 0.000 x1
Cl1 0.500 0.500 0.500 x1

[8]
Here is an optimized crystal structure of RuPbCl from the Alexandria database. Energies are from PBE-GGA.

Values from the calculation:
- DFT total energy (eV/atom) = -4.46
- energy relative to the elements, uncorrected (kJ/mol of formula units) = 139
- magnetization (μB/cell) = 2.2
- E above lowest polymorph (eV per atom) = 0.197

Unit cell a=6.451 b=6.451 c=6.451 alpha=90.00 beta=90.00 gamma=90.00
Space group F-43m (No. 216)
Unique sites:
Ru1 0.000 0.000 0.000 x4
Pb1 0.250 0.250 0.750 x4
Cl1 0.250 0.250 0.250 x4

[9]
Here is an optimized crystal structure of RuPbCl from the Alexandria database. Energies are from PBE-GGA.

Values from the calculation:
- DFT total energy (eV/atom) = -4.56
- energy relative to the elements, uncorrected (kJ/mol of formula units) = 111
- magnetization (μB/cell) = 2.6
- E above lowest polymorph (eV per atom) = 0.099

Unit cell a=3.169 b=3.169 c=13.322 alpha=90.00 beta=90.00 gamma=90.00
Space group I4mm (No. 107)
Unique sites:
Ru1 0.000 0.000 0.000 x2
Pb1 0.000 0.000 0.352 x2
Cl1 0.000 0.000 0.609 x2

[10]
Here is an optimized crystal structure of RuPbCl from the Alexandria database. Energies are from PBE-GGA.

Values from the calculation:
- DFT total energy (eV/atom) = -4.66
- energy relative to the elements, uncorrected (kJ/mol of formula units) = 82
- magnetization (μB/cell) = 1.5
- E above lowest polymorph (eV per atom) = 0.000

Unit cell a=3.3344 b=3.3344 c=7.4508 alpha=90.00 beta=90.00 gamma=120.00
Space group P3m1 (No. 156)
Unique sites:
Ru1 0.0000 0.0000 0.0000 x1
Pb1 0.3333 0.6667 0.6969 x1
Cl1 0.6667 0.3333 0.2023 x1

[11]
Here is an optimized crystal structure of RuPbSCl2 from the Alexandria database. Energies are from PBE-GGA.

Values from the calculation:
- DFT total energy (eV/atom) = -3.42
- energy relative to the elements, uncorrected (kJ/mol of formula units) = 358
- magnetization (μB/cell) = 3.3
- E above lowest polymorph (eV per atom) = 0.931

Unit cell a=5.195 b=5.195 c=5.178 alpha=90.00 beta=90.00 gamma=90.00
Space group P4/mmm (No. 123)
Unique sites:
Ru1 0.000 0.000 0.000 x1
Pb1 0.500 0.500 0.500 x1
S1 0.500 0.500 0.000 x1
Cl1 0.000 0.500 0.500 x2

[12]
Here is an optimized crystal structure of RuPbS2Cl from the Alexandria database. Energies are from PBE-GGA.

Values from the calculation:
- DFT total energy (eV/atom) = -4.71
- energy relative to the elements, uncorrected (kJ/mol of formula units) = -45
- magnetization (μB/cell) = 1.0
- E above lowest polymorph (eV per atom) = 0.000

Unit cell a=4.642 b=4.642 c=4.976 alpha=90.00 beta=90.00 gamma=90.00
Space group P4/mmm (No. 123)
Unique sites:
Ru1 0.000 0.000 0.000 x1
Pb1 0.500 0.500 0.500 x1
S1 0.000 0.500 0.000 x2
Cl1 0.000 0.000 0.500 x1

[13]
Here is an optimized crystal structure of RuPbS2Cl from the Alexandria database. Energies are from PBE-GGA.

Values from the calculation:
- DFT total energy (eV/atom) = -3.60
- energy relative to the elements, uncorrected (kJ/mol of formula units) = 491
- magnetization (μB/cell) = 3.5
- E above lowest polymorph (eV per atom) = 1.111

Unit cell a=5.140 b=5.140 c=5.184 alpha=90.00 beta=90.00 gamma=90.00
Space group P4/mmm (No. 123)
Unique sites:
Ru1 0.000 0.000 0.000 x1
Pb1 0.500 0.500 0.500 x1
S1 0.000 0.500 0.500 x2
Cl1 0.500 0.500 0.000 x1

[14]
Here is an optimized crystal structure of RuPbSCl2 from the Alexandria database. Energies are from PBE-GGA.

Values from the calculation:
- DFT total energy (eV/atom) = -4.35
- energy relative to the elements, uncorrected (kJ/mol of formula units) = -91
- magnetization (μB/cell) = 0.0
- E above lowest polymorph (eV per atom) = 0.000

Unit cell a=4.984 b=4.984 c=4.511 alpha=90.00 beta=90.00 gamma=90.00
Space group P4/mmm (No. 123)
Unique sites:
Ru1 0.000 0.000 0.000 x1
Pb1 0.500 0.500 0.500 x1
S1 0.000 0.000 0.500 x1
Cl1 0.000 0.500 0.000 x2

[15]
Here is an optimized crystal structure of Sb2RuPbCl from the Alexandria database. Energies are from PBE-GGA.

Values from the calculation:
- DFT total energy (eV/atom) = -3.35
- energy relative to the elements, uncorrected (kJ/mol of formula units) = 609
- magnetization (μB/cell) = 1.3

Unit cell a=5.781 b=5.781 c=5.218 alpha=90.00 beta=90.00 gamma=90.00
Space group P4/mmm (No. 123)
Unique sites:
Sb1 0.000 0.500 0.000 x2
Ru1 0.000 0.000 0.500 x1
Pb1 0.000 0.000 0.000 x1
Cl1 0.500 0.500 0.500 x1

[16]
Here is an optimized crystal structure of Sc2RuPbCl from the Alexandria database. Energies are from PBE-GGA.

Values from the calculation:
- DFT total energy (eV/atom) = -5.16
- energy relative to the elements, uncorrected (kJ/mol of formula units) = 165
- magnetization (μB/cell) = 0.0

Unit cell a=4.635 b=4.635 c=5.343 alpha=90.00 beta=90.00 gamma=90.00
Space group P4/mmm (No. 123)
Unique sites:
Sc1 0.000 0.500 0.000 x2
Ru1 0.000 0.000 0.500 x1
Pb1 0.500 0.500 0.500 x1
Cl1 0.500 0.500 0.000 x1

[17]
Here is an optimized crystal structure of TeRuPb2Cl from the Alexandria database. Energies are from PBE-GGA.

Values from the calculation:
- DFT total energy (eV/atom) = -3.22
- energy relative to the elements, uncorrected (kJ/mol of formula units) = 540
- magnetization (μB/cell) = 2.2

Unit cell a=6.060 b=6.060 c=5.132 alpha=90.00 beta=90.00 gamma=90.00
Space group P4/mmm (No. 123)
Unique sites:
Te1 0.000 0.000 0.000 x1
Ru1 0.500 0.500 0.500 x1
Pb1 0.000 0.500 0.000 x2
Cl1 0.000 0.000 0.500 x1

[18]
Here is an optimized crystal structure of TlRuPbCl6 from the Alexandria database. Energies are from PBE-GGA.

Values from the calculation:
- DFT total energy (eV/atom) = -3.76
- energy relative to the elements, uncorrected (kJ/mol of formula units) = -716
- magnetization (μB/cell) = 2.1

Unit cell a=7.0773 b=7.0773 c=12.9553 alpha=90.00 beta=90.00 gamma=120.00
Space group P-31c (No. 163)
Unique sites:
Tl1 0.0000 0.0000 0.0000 x2
Ru1 0.3333 0.6667 0.2500 x2
Pb1 0.3333 0.6667 0.7500 x2
Cl1 0.0548 0.3976 0.1427 x12

[19]
Here is an optimized crystal structure of Zr2RuPbCl from the Alexandria database. Energies are from PBE-GGA.

Values from the calculation:
- DFT total energy (eV/atom) = -6.28
- energy relative to the elements, uncorrected (kJ/mol of formula units) = 53
- magnetization (μB/cell) = 0.6

Unit cell a=4.822 b=4.822 c=4.465 alpha=90.00 beta=90.00 gamma=90.00
Space group P4/mmm (No. 123)
Unique sites:
Zr1 0.000 0.500 0.000 x2
Ru1 0.000 0.000 0.500 x1
Pb1 0.500 0.500 0.500 x1
Cl1 0.000 0.000 0.000 x1

[20]
Here is an optimized crystal structure of PbS2Cl from the Alexandria database. Energies are from PBE-GGA.

Values from the calculation:
- DFT total energy (eV/atom) = -3.50
- energy relative to the elements, uncorrected (kJ/mol of formula units) = -18
- magnetization (μB/cell) = 0.0
- E above lowest polymorph (eV per atom) = 0.429

Unit cell a=4.2189 b=4.2189 c=22.7941 alpha=90.00 beta=90.00 gamma=120.00
Space group R-3m (No. 166, hexagonal axes)
Unique sites:
Pb1 0.0000 0.0000 0.0000 x3
S1 0.0000 0.0000 0.3984 x6
Cl1 0.0000 0.0000 0.5000 x3

[21]
Here is an optimized crystal structure of PbS2Cl2 from the Alexandria database. Energies are from PBE-GGA.

Values from the calculation:
- DFT total energy (eV/atom) = -3.65
- energy relative to the elements, uncorrected (kJ/mol of formula units) = -250
- magnetization (μB/cell) = 0.0

Unit cell a=4.192 b=4.207 c=11.117 alpha=84.34 beta=86.51 gamma=63.40
Space group P-1 (No. 2)
Unique sites:
Pb1 0.000 0.000 0.000 x1
S1 0.368 0.365 0.522 x2
Cl1 0.333 0.309 0.142 x2

[22]
Here is an optimized crystal structure of Pb7SCl12 from the Alexandria database. Energies are from PBE-GGA.

Values from the calculation:
- DFT total energy (eV/atom) = -3.69
- energy relative to the elements, uncorrected (kJ/mol of formula units) = -2075
- magnetization (μB/cell) = 0.0

Unit cell a=15.2232 b=15.2232 c=10.6952 alpha=90.00 beta=90.00 gamma=120.00
Space group R-3 (No. 148, hexagonal axes)
Unique sites:
Pb1 0.0000 0.0000 0.0000 x3
Pb2 0.0386 0.1800 0.3350 x18
S1 0.0000 0.0000 0.5000 x3
Cl1 0.0307 0.1606 0.8245 x18
Cl2 0.0359 0.5880 0.1438 x18

[23]
Here is an optimized crystal structure of Pb3SCl3 from the Alexandria database. Energies are from PBE-GGA.

Values from the calculation:
- DFT total energy (eV/atom) = -3.73
- energy relative to the elements, uncorrected (kJ/mol of formula units) = -516
- magnetization (μB/cell) = 0.0
- E above lowest polymorph (eV per atom) = 0.000

Unit cell a=12.255 b=12.255 c=12.255 alpha=90.00 beta=90.00 gamma=90.00
Space group I4_132 (No. 214)
Unique sites:
Pb1 0.120 0.370 0.125 x24
S1 0.125 0.125 0.125 x8
Cl1 0.116 0.375 0.366 x24

[24]
Here is an optimized crystal structure of Pb2SCl from the Alexandria database. Energies are from PBE-GGA.

Values from the calculation:
- DFT total energy (eV/atom) = -3.90
- energy relative to the elements, uncorrected (kJ/mol of formula units) = -214
- magnetization (μB/cell) = 0.0
- E above lowest polymorph (eV per atom) = 0.017

Unit cell a=9.646 b=15.509 c=7.064 alpha=90.00 beta=121.38 gamma=90.00
Space group C2/c (No. 15)
Unique sites:
Pb1 0.236 0.188 0.274 x8
Pb2 0.240 0.063 0.724 x8
S1 0.000 0.063 0.250 x4
S2 0.000 0.310 0.250 x4
Cl1 0.000 0.183 0.750 x4
Cl2 0.000 0.443 0.750 x4

[25]
Here is an optimized crystal structure of PbSCl6 from the Alexandria database. Energies are from PBE-GGA.

Values from the calculation:
- DFT total energy (eV/atom) = -2.77
- energy relative to the elements, uncorrected (kJ/mol of formula units) = -316
- magnetization (μB/cell) = 0.0

Unit cell a=6.5046 b=6.5046 c=17.9025 alpha=90.00 beta=90.00 gamma=120.00
Space group R-3 (No. 148, hexagonal axes)
Unique sites:
Pb1 0.0000 0.0000 0.0000 x3
S1 0.0000 0.0000 0.5000 x3
Cl1 0.0247 0.6383 0.0918 x18